{"formula": "GePd6Pb2", "functional": "GGA-PBE", "state": "optimized geometry", "lattice": [[3.505, 0.000, 0.000], [0.000, 6.581, -3.030], [0.000, -0.666, 7.215]], "species": ["Pd", "Pd", "Pd", "Pd", "Pd", "Pd", "Pb", "Pb", "Ge"], "frac_coords": [[0.000, 0.000, 0.250], [0.000, 0.750, 0.750], [0.500, 0.628, 0.000], [0.000, 0.250, 0.000], [0.500, 0.372, 0.372], [0.500, 0.000, 0.628], [0.000, 0.667, 0.333], [0.000, 0.333, 0.667], [0.500, 0.000, 0.000]], "formation_enthalpy_0k_mev_per_atom": -344}


{"formula": "Pr2HoTlO6", "functional": "GGA-PBE", "state": "optimized geometry", "lattice": [[5.989, 0.000, 0.000], [2.995, 5.187, 0.000], [2.995, 1.729, 5.128]], "species": ["O", "O", "O", "O", "O", "O", "Pr", "Pr", "Ho", "Tl"], "frac_coords": [[0.185, 0.936, 0.263], [0.107, 0.444, 0.755], [0.615, 0.185, 0.263], [0.936, 0.615, 0.263], [0.444, 0.694, 0.755], [0.694, 0.107, 0.755], [0.530, 0.530, 0.410], [0.032, 0.032, 0.903], [0.810, 0.810, 0.571], [0.308, 0.308, 0.075]], "raw_formation_energy_kj_per_mol_atoms": -259.0}


{"formula": "Ir4RuRh4", "functional": "GGA-PBE", "state": "optimized geometry", "lattice": [[3.686, 0.000, 1.113], [1.843, 5.780, 0.556], [0.172, 0.000, 6.090]], "species": ["Rh", "Rh", "Rh", "Rh", "Ir", "Ir", "Ir", "Ir", "Ru"], "frac_coords": [[0.829, 0.171, 0.671], [0.500, 0.171, 0.329], [0.500, 0.829, 0.671], [0.171, 0.829, 0.329], [0.165, 0.500, 0.670], [0.835, 0.500, 0.330], [0.165, 0.170, 0.000], [0.835, 0.830, 0.000], [0.500, 0.500, 0.000]], "formation_enthalpy_0k_mev_per_atom": -29}


{"formula": "Rb4Dy3ErTe8", "functional": "GGA-PBE", "state": "optimized geometry", "lattice": [[9.037, 0.000, 0.000], [0.000, 9.997, 0.670], [-4.519, -4.518, 6.392]], "species": ["Te", "Te", "Te", "Te", "Te", "Te", "Te", "Te", "Dy", "Dy", "Dy", "Rb", "Rb", "Rb", "Rb", "Er"], "frac_coords": [[0.232, 0.699, 0.967], [0.232, 0.699, 0.464], [0.267, 0.301, 0.534], [0.768, 0.301, 0.033], [0.733, 0.699, 0.466], [0.768, 0.301, 0.536], [0.265, 0.301, 0.033], [0.735, 0.699, 0.967], [0.500, 0.500, 0.000], [0.000, 0.500, 0.500], [0.500, 0.500, 0.500], [0.000, 0.000, 0.500], [0.500, 0.000, 0.000], [0.500, 0.000, 0.500], [0.000, 0.000, 0.000], [0.000, 0.500, 0.000]], "raw_formation_energy_kj_per_mol_atoms": -133.2}


{"formula": "DyYRu4", "functional": "GGA-PBE", "state": "optimized geometry", "lattice": [[5.338, 0.000, 0.000], [2.669, 4.623, 0.000], [2.669, 1.541, 4.359]], "species": ["Ru", "Ru", "Ru", "Ru", "Dy", "Y"], "frac_coords": [[0.125, 0.625, 0.625], [0.625, 0.625, 0.625], [0.625, 0.125, 0.625], [0.625, 0.625, 0.125], [0.000, 0.000, 0.000], [0.250, 0.250, 0.250]], "formation_enthalpy_0k_mev_per_atom": -297}


{"formula": "Rb2CaI2Br2", "functional": "GGA-PBE", "state": "optimized geometry", "lattice": [[5.705, 0.000, 0.000], [0.000, 5.705, 0.000], [-2.852, -2.852, 9.401]], "species": ["I", "I", "Rb", "Rb", "Br", "Br", "Ca"], "frac_coords": [[0.167, 0.167, 0.334], [0.833, 0.833, 0.666], [0.363, 0.363, 0.727], [0.637, 0.637, 0.273], [0.000, 0.500, 0.000], [0.500, 0.000, 0.000], [0.000, 0.000, 0.000]], "raw_formation_energy_kj_per_mol_atoms": -166.8}


{"formula": "CaLa2Sn2", "functional": "GGA-PBE", "state": "optimized geometry", "lattice": [[4.825, 0.000, 0.000], [0.000, 4.825, 0.000], [2.413, 2.413, 7.273]], "species": ["Sn", "Sn", "La", "La", "Ca"], "frac_coords": [[0.597, 0.597, 0.806], [0.403, 0.403, 0.194], [0.750, 0.250, 0.500], [0.250, 0.750, 0.500], [0.000, 0.000, 0.000]], "formation_enthalpy_0k_mev_per_atom": -412}


{"formula": "ThZn3Au4", "functional": "GGA-PBE", "state": "optimized geometry", "lattice": [[4.647, -0.004, 0.000], [-0.004, 4.647, 0.000], [0.000, 0.000, 7.488]], "species": ["Au", "Au", "Au", "Au", "Th", "Zn", "Zn", "Zn"], "frac_coords": [[0.500, 0.000, 0.193], [0.000, 0.500, 0.193], [0.000, 0.500, 0.807], [0.500, 0.000, 0.807], [0.000, 0.000, 0.500], [0.500, 0.500, 0.660], [0.000, 0.000, 0.000], [0.500, 0.500, 0.340]], "formation_enthalpy_0k_mev_per_atom": -321}


{"formula": "Tm2Ag8Hg", "functional": "GGA-PBE", "state": "optimized geometry", "lattice": [[5.029, 0.000, 0.000], [0.000, 7.690, -0.583], [-2.515, -3.670, 5.988]], "species": ["Ag", "Ag", "Ag", "Ag", "Ag", "Ag", "Ag", "Ag", "Hg", "Tm", "Tm"], "frac_coords": [[0.132, 0.182, 0.265], [0.312, 0.114, 0.625], [0.688, 0.886, 0.375], [0.419, 0.564, 0.838], [0.045, 0.733, 0.090], [0.955, 0.267, 0.910], [0.581, 0.436, 0.162], [0.868, 0.818, 0.735], [0.500, 0.000, 0.000], [0.224, 0.649, 0.448], [0.776, 0.351, 0.552]], "formation_enthalpy_0k_mev_per_atom": -132}


{"formula": "AcTbPr6Tm2", "functional": "GGA-PBE", "state": "optimized geometry", "lattice": [[9.522, -2.082, -2.160], [0.730, 8.784, -2.044], [0.730, -2.368, 8.702]], "species": ["Tb", "Tb", "Pr", "Pr", "Pr", "Pr", "Pr", "Pr", "Pr", "Pr", "Pr", "Pr", "Pr", "Pr", "Tm", "Tm", "Tm", "Tm", "Ac", "Ac"], "frac_coords": [[0.250, 0.968, 0.032], [0.750, 0.032, 0.968], [0.877, 0.293, 0.506], [0.325, 0.970, 0.428], [0.556, 0.765, 0.109], [0.175, 0.572, 0.030], [0.825, 0.428, 0.970], [0.623, 0.494, 0.707], [0.675, 0.030, 0.572], [0.056, 0.109, 0.765], [0.377, 0.506, 0.293], [0.444, 0.235, 0.891], [0.123, 0.707, 0.494], [0.944, 0.891, 0.235], [0.045, 0.290, 0.195], [0.545, 0.195, 0.290], [0.455, 0.805, 0.710], [0.955, 0.710, 0.805], [0.750, 0.601, 0.399], [0.250, 0.399, 0.601]], "formation_enthalpy_0k_mev_per_atom": 116}


{"formula": "Ti2TeN", "functional": "GGA-PBE", "state": "optimized geometry", "lattice": [[-1.444, -3.436, 2.374], [-4.219, -0.168, 1.303], [-2.758, -2.937, -1.816]], "species": ["Ti", "Ti", "Te", "N"], "frac_coords": [[0.750, 0.750, 0.750], [0.250, 0.250, 0.250], [0.500, 0.500, 0.500], [0.000, 0.000, 0.000]], "raw_formation_energy_kj_per_mol_atoms": 9.9}


{"formula": "PaTi5In4", "functional": "GGA-PBE", "state": "optimized geometry", "lattice": [[-0.930, -1.725, -2.631], [2.648, 1.052, -1.626], [9.463, -14.399, 6.095]], "species": ["Ti", "Ti", "Ti", "Ti", "Ti", "Pa", "In", "In", "In", "In"], "frac_coords": [[0.500, 0.500, 0.915], [0.500, 0.500, 0.085], [0.500, 0.500, 0.706], [0.500, 0.500, 0.294], [0.500, 0.500, 0.500], [0.000, 0.000, 0.000], [0.000, 0.000, 0.811], [0.000, 0.000, 0.397], [0.000, 0.000, 0.603], [0.000, 0.000, 0.189]], "formation_enthalpy_0k_mev_per_atom": -24}


Uncorrected energy, record by record: -46.29, -73.09, -74.38, -69.46, -49.95, -22.48, -21.92, -26.92, -33.50, -90.39, -26.85, -60.17 eV/cell